# 1
# Zn2InBr | Alexandria via LeMat-Bulk | PBE | optimized geometry
data_Zn2InBr
_space_group_name_H-M_alt 'C m m m'
_space_group_IT_number 65
_space_group_name_Hall '-C 2 2'
_cell_length_a 6.274
_cell_length_b 8.340
_cell_length_c 3.728
_cell_angle_alpha 90.00
_cell_angle_beta 90.00
_cell_angle_gamma 90.00
loop_
_atom_site_label
_atom_site_type_symbol
_atom_site_fract_x
_atom_site_fract_y
_atom_site_fract_z
Zn1 Zn 0.250 0.250 0.000
In1 In 0.000 0.000 0.500
Br1 Br 0.000 0.500 0.500
# Offset from the most stable computed form (meV/atom): 207
# E (eV/atom): -1.68
# Size of the total moment (μB per formula unit): 0.00
# Fermi-level density of states (states/eV/cell): 2.25

# 2
# AcGdHoTl | Alexandria via LeMat-Bulk | PBE | optimized geometry
data_AcGdHoTl
_space_group_name_H-M_alt 'F -4 3 m'
_space_group_IT_number 216
_space_group_name_Hall 'F -4 2 3'
_cell_length_a 7.979
_cell_length_b 7.979
_cell_length_c 7.979
_cell_angle_alpha 90.00
_cell_angle_beta 90.00
_cell_angle_gamma 90.00
loop_
_atom_site_label
_atom_site_type_symbol
_atom_site_fract_x
_atom_site_fract_y
_atom_site_fract_z
Ac1 Ac 0.000 0.000 0.000
Gd1 Gd 0.250 0.250 0.750
Ho1 Ho 0.250 0.250 0.250
Tl1 Tl 0.000 0.000 0.500
# Energy of formation (kJ/mol of atoms): 3
# E (eV/atom): -6.26
# Size of the total moment (μB per formula unit): 8.62
# Fermi-level density of states (states/eV/cell): 19.67